Density functional theory data (PBE) for a relaxed AcNpGeAu crystal.

Lattice parameters (Å, degrees): 5.332 5.332 5.332 60.00 60.00 60.00
Element x y z (fractional)
Ac1 0.000 0.000 0.000
Np1 0.500 0.500 0.500
Ge1 0.750 0.750 0.750
Au1 0.250 0.250 0.250

Values from the calculation:
Magnetic moment = 5.0 μB per formula unit
Calculated total energy = -6.500 eV/atom
SG = F-43m, No. 216

Density functional theory data (PBE) for a relaxed Ac2NpGe3Au12 crystal.

Lattice parameters (Å, degrees): 8.281 8.281 8.281 67.47 67.47 67.47
Element x y z (fractional)
Ac1 0.102 0.102 0.102
Ac2 0.898 0.898 0.898
Np1 0.500 0.500 0.500
Ge1 0.000 0.500 0.500
Ge2 0.500 0.000 0.500
Ge3 0.500 0.500 0.000
Au1 0.110 0.647 0.647
Au2 0.187 0.187 0.660
Au3 0.187 0.660 0.187
Au4 0.340 0.813 0.813
Au5 0.353 0.353 0.890
Au6 0.353 0.890 0.353
Au7 0.647 0.110 0.647
Au8 0.647 0.647 0.110
Au9 0.660 0.187 0.187
Au10 0.813 0.340 0.813
Au11 0.813 0.813 0.340
Au12 0.890 0.353 0.353

Values from the calculation:
Magnetic moment = 4.5 μB per formula unit
Calculated total energy = -4.204 eV/atom
SG = R-3m, No. 166

Density functional theory data (PBE) for a relaxed AcPaGeAu crystal.

Lattice parameters (Å, degrees): 5.318 5.318 5.318 60.00 60.00 60.00
Element x y z (fractional)
Ac1 0.000 0.000 0.000
Pa1 0.500 0.500 0.500
Ge1 0.750 0.750 0.750
Au1 0.250 0.250 0.250

Values from the calculation:
Magnetic moment = 2.5 μB per formula unit
Calculated total energy = -5.647 eV/atom
SG = F-43m, No. 216

Density functional theory data (PBE) for a relaxed Ac2Ge4PbAu3 crystal.

Lattice parameters (Å, degrees): 4.762 4.762 10.581 90.00 90.00 90.00
Element x y z (fractional)
Ac1 0.000 0.500 0.234
Ac2 0.500 0.000 0.766
Ge1 0.000 0.000 0.000
Ge2 0.000 0.500 0.645
Ge3 0.500 0.000 0.355
Ge4 0.500 0.500 0.000
Pb1 0.000 0.000 0.500
Au1 0.000 0.500 0.885
Au2 0.500 0.000 0.115
Au3 0.500 0.500 0.500

Values from the calculation:
Magnetic moment = 0.0 μB per formula unit
Calculated total energy = -4.488 eV/atom
SG = P-4m2, No. 115

Density functional theory data (PBE) for a relaxed AcGePbAu crystal.

Lattice parameters (Å, degrees): 5.363 5.363 5.363 60.00 60.00 60.00
Element x y z (fractional)
Ac1 0.000 0.000 0.000
Ge1 0.250 0.250 0.250
Pb1 0.500 0.500 0.500
Au1 0.750 0.750 0.750

Values from the calculation:
Magnetic moment = 0.0 μB per formula unit
Calculated total energy = -4.345 eV/atom
SG = F-43m, No. 216

Density functional theory data (PBE) for a relaxed Ac2Ge3PbAu4 crystal.

Lattice parameters (Å, degrees): 4.619 4.619 11.189 90.00 90.00 90.00
Element x y z (fractional)
Ac1 0.000 0.500 0.231
Ac2 0.500 0.000 0.769
Ge1 0.000 0.500 0.878
Ge2 0.500 0.000 0.122
Ge3 0.500 0.500 0.500
Pb1 0.000 0.000 0.500
Au1 0.000 0.000 0.000
Au2 0.000 0.500 0.652
Au3 0.500 0.000 0.348
Au4 0.500 0.500 0.000

Values from the calculation:
Magnetic moment = 0.0 μB per formula unit
Calculated total energy = -4.450 eV/atom
SG = P-4m2, No. 115

Density functional theory data (PBE) for a relaxed Ac2Ge3PdAu4 crystal.

Lattice parameters (Å, degrees): 4.622 4.622 10.509 90.00 90.00 90.00
Element x y z (fractional)
Ac1 0.000 0.500 0.245
Ac2 0.500 0.000 0.755
Ge1 0.000 0.000 0.000
Ge2 0.000 0.500 0.627
Ge3 0.500 0.000 0.373
Pd1 0.500 0.500 0.000
Au1 0.000 0.000 0.500
Au2 0.000 0.500 0.868
Au3 0.500 0.000 0.132
Au4 0.500 0.500 0.500

Values from the calculation:
Magnetic moment = 0.0 μB per formula unit
Calculated total energy = -4.635 eV/atom
SG = P-4m2, No. 115

Density functional theory data (PBE) for a relaxed Ac2Ge3Pd4Au crystal.

Lattice parameters (Å, degrees): 4.471 4.471 10.564 90.00 90.00 90.00
Element x y z (fractional)
Ac1 0.000 0.500 0.245
Ac2 0.500 0.000 0.755
Ge1 0.000 0.000 0.000
Ge2 0.000 0.500 0.618
Ge3 0.500 0.000 0.382
Pd1 0.000 0.000 0.500
Pd2 0.000 0.500 0.854
Pd3 0.500 0.000 0.146
Pd4 0.500 0.500 0.500
Au1 0.500 0.500 0.000

Values from the calculation:
Magnetic moment = 0.0 μB per formula unit
Calculated total energy = -5.384 eV/atom
SG = P-4m2, No. 115